No. 1
Here is an optimized crystal structure of HgBi2IrBr from Alexandria via LeMat-Bulk. Energies are from GGA-PBE.

## Properties
Its raw formation energy is 0.74 eV/f.u.

The structure in CIF format:
```
data_HgBi2IrBr
_chemical_formula_sum 'Hg1 Bi2 Ir1 Br1'
_cell_length_a 5.3158
_cell_length_b 5.3921
_cell_length_c 5.3158
_cell_angle_alpha 90.00
_cell_angle_beta 90.00
_cell_angle_gamma 90.00
_space_group_name_H-M_alt 'P 1'
_space_group_IT_number 1
loop_
_space_group_symop_operation_xyz
'x,y,z'
loop_
_atom_site_label
_atom_site_type_symbol
_atom_site_fract_x
_atom_site_fract_y
_atom_site_fract_z
Br1 Br 0.5000 0.5000 0.5000
Ir1 Ir 0.0000 0.0000 0.0000
Bi1 Bi 0.5000 0.0000 0.0000
Hg1 Hg 0.0000 0.5000 0.0000
Bi2 Bi 0.0000 0.0000 0.5000
```

=====

No. 2
Here is an optimized crystal structure of K2HgBiBr6 from Alexandria via LeMat-Bulk. Energies are from GGA-PBE.

## Properties
Its raw formation energy is -10.26 eV/f.u.

The structure in CIF format:
```
data_K2HgBiBr6
_chemical_formula_sum 'K2 Hg1 Bi1 Br6'
_cell_length_a 8.0036
_cell_length_b 8.0125
_cell_length_c 8.2976
_cell_angle_alpha 61.11
_cell_angle_beta 61.08
_cell_angle_gamma 60.01
_space_group_name_H-M_alt 'P 1'
_space_group_IT_number 1
loop_
_space_group_symop_operation_xyz
'x,y,z'
loop_
_atom_site_label
_atom_site_type_symbol
_atom_site_fract_x
_atom_site_fract_y
_atom_site_fract_z
Hg1 Hg 0.8190 0.8190 0.5436
Bi1 Bi 0.3225 0.3226 0.0324
K1 K 0.5330 0.5333 0.3996
Br1 Br 0.0950 0.4653 0.7761
Br2 Br 0.1735 0.9870 0.2654
K2 K 0.0282 0.0273 0.9171
Br3 Br 0.6638 0.0948 0.7763
Br4 Br 0.4667 0.6630 0.7759
Br5 Br 0.5737 0.1749 0.2648
Br6 Br 0.9862 0.5745 0.2641
```

=====

No. 3
Here is an optimized crystal structure of KHgBiBr6 from Alexandria via LeMat-Bulk. Energies are from GGA-PBE.

## Properties
Its raw formation energy is -7.75 eV/f.u.

The structure in CIF format:
```
data_KHgBiBr6
_chemical_formula_sum 'K1 Hg1 Bi1 Br6'
_cell_length_a 7.4342
_cell_length_b 7.4341
_cell_length_c 7.2715
_cell_angle_alpha 90.03
_cell_angle_beta 89.97
_cell_angle_gamma 59.96
_space_group_name_H-M_alt 'P 1'
_space_group_IT_number 1
loop_
_space_group_symop_operation_xyz
'x,y,z'
loop_
_atom_site_label
_atom_site_type_symbol
_atom_site_fract_x
_atom_site_fract_y
_atom_site_fract_z
K1 K 0.0000 0.0000 0.0000
Br1 Br 0.0029 0.6288 0.7283
Br2 Br 0.3682 0.0031 0.7289
Br3 Br 0.0030 0.3682 0.2711
Br4 Br 0.3681 0.6291 0.2717
Br5 Br 0.6287 0.0029 0.2716
Hg1 Hg 0.3333 0.3333 0.5000
Bi1 Bi 0.6665 0.6665 0.5000
Br6 Br 0.6290 0.3681 0.7283
```

=====

No. 4
Here is an optimized crystal structure of KHgBi2Br from Alexandria via LeMat-Bulk. Energies are from GGA-PBE.

## Properties
Its raw formation energy is 2.76 eV/f.u.

The structure in CIF format:
```
data_KHgBi2Br
_chemical_formula_sum 'K1 Hg1 Bi2 Br1'
_cell_length_a 6.3864
_cell_length_b 5.8963
_cell_length_c 6.3864
_cell_angle_alpha 90.00
_cell_angle_beta 90.00
_cell_angle_gamma 90.00
_space_group_name_H-M_alt 'P 1'
_space_group_IT_number 1
loop_
_space_group_symop_operation_xyz
'x,y,z'
loop_
_atom_site_label
_atom_site_type_symbol
_atom_site_fract_x
_atom_site_fract_y
_atom_site_fract_z
Bi1 Bi 0.5000 0.0000 0.0000
K1 K 0.0000 0.0000 0.0000
Bi2 Bi 0.0000 0.0000 0.5000
Hg1 Hg 0.5000 0.5000 0.5000
Br1 Br 0.0000 0.5000 0.0000
```

=====

No. 5
Here is an optimized crystal structure of Li2HgBiBr6 from Alexandria via LeMat-Bulk. Energies are from GGA-PBE.

## Properties
Its raw formation energy is -8.86 eV/f.u.

The structure in CIF format:
```
data_Li2HgBiBr6
_chemical_formula_sum 'Li2 Hg1 Bi1 Br6'
_cell_length_a 7.2376
_cell_length_b 7.2390
_cell_length_c 7.8807
_cell_angle_alpha 62.64
_cell_angle_beta 62.65
_cell_angle_gamma 60.00
_space_group_name_H-M_alt 'P 1'
_space_group_IT_number 1
loop_
_space_group_symop_operation_xyz
'x,y,z'
loop_
_atom_site_label
_atom_site_type_symbol
_atom_site_fract_x
_atom_site_fract_y
_atom_site_fract_z
Br1 Br 0.9030 0.6094 0.2426
Li1 Li 0.0009 0.0007 0.9977
Br2 Br 0.3649 0.7435 0.7548
Bi1 Bi 0.3247 0.3247 0.0259
Br3 Br 0.7434 0.1372 0.7546
Br4 Br 0.6093 0.2447 0.2426
Hg1 Hg 0.8082 0.8082 0.5756
Li2 Li 0.5252 0.5250 0.4243
Br5 Br 0.1373 0.3650 0.7545
Br6 Br 0.2447 0.9032 0.2427
```

=====

No. 6
Here is an optimized crystal structure of HgBiMoBr2 from Alexandria via LeMat-Bulk. Energies are from GGA-PBE.

## Properties
Its raw formation energy is 2.91 eV/f.u.

The structure in CIF format:
```
data_HgBiMoBr2
_chemical_formula_sum 'Hg1 Bi1 Mo1 Br2'
_cell_length_a 5.7986
_cell_length_b 5.8067
_cell_length_c 5.7986
_cell_angle_alpha 90.00
_cell_angle_beta 90.00
_cell_angle_gamma 90.00
_space_group_name_H-M_alt 'P 1'
_space_group_IT_number 1
loop_
_space_group_symop_operation_xyz
'x,y,z'
loop_
_atom_site_label
_atom_site_type_symbol
_atom_site_fract_x
_atom_site_fract_y
_atom_site_fract_z
Mo1 Mo 0.0000 0.5000 0.0000
Br1 Br 0.5000 0.0000 0.0000
Hg1 Hg 0.5000 0.5000 0.5000
Bi1 Bi 0.0000 0.0000 0.0000
Br2 Br 0.0000 0.0000 0.5000
```

=====

No. 7
Here is an optimized crystal structure of NaHgBiBr6 from Alexandria via LeMat-Bulk. Energies are from GGA-PBE.

## Properties
Its raw formation energy is -7.16 eV/f.u.

The structure in CIF format:
```
data_NaHgBiBr6
_chemical_formula_sum 'Na2 Hg2 Bi2 Br12'
_cell_length_a 7.2930
_cell_length_b 7.2930
_cell_length_c 13.4417
_cell_angle_alpha 90.00
_cell_angle_beta 90.00
_cell_angle_gamma 120.00
_space_group_name_H-M_alt 'P 1'
_space_group_IT_number 1
loop_
_space_group_symop_operation_xyz
'x,y,z'
loop_
_atom_site_label
_atom_site_type_symbol
_atom_site_fract_x
_atom_site_fract_y
_atom_site_fract_z
Br1 Br 0.9973 0.3513 0.1277
Br2 Br 0.3513 0.3540 0.8723
Br3 Br 0.3513 0.9973 0.6277
Hg1 Hg 0.6667 0.3333 0.2500
Br4 Br 0.9973 0.6460 0.3723
Hg2 Hg 0.3333 0.6667 0.7500
Br5 Br 0.0027 0.3540 0.6277
Br6 Br 0.6487 0.6460 0.1277
Br7 Br 0.3540 0.0027 0.1277
Na1 Na 0.0000 0.0000 0.5000
Na2 Na 0.0000 0.0000 0.0000
Br8 Br 0.6460 0.9973 0.8723
Br9 Br 0.0027 0.6487 0.8723
Bi1 Bi 0.3333 0.6667 0.2500
Br10 Br 0.3540 0.3513 0.3723
Br11 Br 0.6460 0.6487 0.6277
Bi2 Bi 0.6667 0.3333 0.7500
Br12 Br 0.6487 0.0027 0.3723
```

=====

No. 8
Here is an optimized crystal structure of NiHgBi2Br from Alexandria via LeMat-Bulk. Energies are from GGA-PBE.

## Properties
Its raw formation energy is 0.44 eV/f.u.

The structure in CIF format:
```
data_NiHgBi2Br
_chemical_formula_sum 'Ni1 Hg1 Bi2 Br1'
_cell_length_a 5.1558
_cell_length_b 5.1821
_cell_length_c 5.1558
_cell_angle_alpha 90.00
_cell_angle_beta 90.00
_cell_angle_gamma 90.00
_space_group_name_H-M_alt 'P 1'
_space_group_IT_number 1
loop_
_space_group_symop_operation_xyz
'x,y,z'
loop_
_atom_site_label
_atom_site_type_symbol
_atom_site_fract_x
_atom_site_fract_y
_atom_site_fract_z
Ni1 Ni 0.0000 0.0000 0.0000
Hg1 Hg 0.0000 0.5000 0.0000
Br1 Br 0.5000 0.5000 0.5000
Bi1 Bi 0.5000 0.0000 0.0000
Bi2 Bi 0.0000 0.0000 0.5000
```

=====

No. 9
Here is an optimized crystal structure of HgBiPbBr6 from Alexandria via LeMat-Bulk. Energies are from GGA-PBE.

## Properties
Its raw formation energy is -5.75 eV/f.u.

The structure in CIF format:
```
data_HgBiPbBr6
_chemical_formula_sum 'Hg1 Bi1 Pb1 Br6'
_cell_length_a 7.4924
_cell_length_b 7.4921
_cell_length_c 6.9034
_cell_angle_alpha 89.99
_cell_angle_beta 89.99
_cell_angle_gamma 60.01
_space_group_name_H-M_alt 'P 1'
_space_group_IT_number 1
loop_
_space_group_symop_operation_xyz
'x,y,z'
loop_
_atom_site_label
_atom_site_type_symbol
_atom_site_fract_x
_atom_site_fract_y
_atom_site_fract_z
Br1 Br 0.6474 0.3357 0.7448
Br2 Br 0.0165 0.3366 0.2549
Br3 Br 0.3357 0.0167 0.7448
Pb1 Pb 0.6667 0.6667 0.5002
Br4 Br 0.3364 0.6472 0.2550
Br5 Br 0.0168 0.6472 0.7450
Bi1 Bi 0.3333 0.3334 0.4999
Hg1 Hg 0.0000 0.0000 0.0004
Br6 Br 0.6470 0.0166 0.2549
```

=====

No. 10
Here is an optimized crystal structure of Hg2BiPdBr from Alexandria via LeMat-Bulk. Energies are from GGA-PBE.

## Properties
Its raw formation energy is 2.61 eV/f.u.

The structure in CIF format:
```
data_Hg2BiPdBr
_chemical_formula_sum 'Hg2 Bi1 Pd1 Br1'
_cell_length_a 5.7567
_cell_length_b 4.7144
_cell_length_c 5.7567
_cell_angle_alpha 90.00
_cell_angle_beta 90.00
_cell_angle_gamma 90.00
_space_group_name_H-M_alt 'P 1'
_space_group_IT_number 1
loop_
_space_group_symop_operation_xyz
'x,y,z'
loop_
_atom_site_label
_atom_site_type_symbol
_atom_site_fract_x
_atom_site_fract_y
_atom_site_fract_z
Br1 Br 0.0000 0.0000 0.0000
Hg1 Hg 0.5000 0.0000 0.0000
Hg2 Hg 0.0000 0.0000 0.5000
Bi1 Bi 0.5000 0.5000 0.5000
Pd1 Pd 0.0000 0.5000 0.0000
```

=====

Q: Which value of raw formation energy does entry 4 give?
A: 2.76 eV/f.u.

=====

Q: Look up the raw formation energy of the eighth one.
A: 0.44 eV/f.u.